No. 1
This record from the Alexandria database describes crystalline Ag7TeSe2 at its relaxed geometry. The functional is PBE.

Energy relative to the elements, uncorrected in eV per atom: 0.038
E_tot in eV for the cell shown: -29.7

Lattice parameters (Å, degrees): 8.0069 8.0069 4.4968 90.00 90.00 121.81
Closest atoms and distances in Å follow each position.
Element x y z (fractional)
Ag  0.0000  0.0000  0.0000  2 Se 2.60, 4 Ag 2.89
Ag  0.2082  0.4249  0.0000  1 Se 2.69, 2 Ag 2.86-2.89
Ag  0.2869  0.7131  0.5000  2 Se 2.66
Ag  0.4249  0.2082  0.0000  1 Se 2.69, 2 Ag 2.86-2.89
Ag  0.5751  0.7918  0.0000  1 Se 2.69, 2 Ag 2.86-2.89
Ag  0.7131  0.2869  0.5000  2 Se 2.66
Ag  0.7918  0.5751  0.0000  1 Se 2.69, 2 Ag 2.86-2.89
Te  0.5000  0.5000  0.5000  10 Ag 2.98-3.06
Se  0.1855  0.8145  0.0000  5 Ag 2.60-2.69
Se  0.8145  0.1855  0.0000  5 Ag 2.60-2.69

No. 2
This record from the Alexandria database describes crystalline BaLa2NbCu at its relaxed geometry. The functional is PBE.

E_tot in eV for the cell shown: -23.5
ΔH_f (0 K) in meV per atom: 480

Lattice parameters (Å, degrees): 5.5122 5.5122 5.4032 90.00 90.00 90.00
Closest atoms and distances in Å follow each position.
Element x y z (fractional)
Ba  0.0000  0.0000  0.0000  8 La 3.86, 4 Cu 3.90
La  0.0000  0.5000  0.5000  2 Nb 2.76
La  0.5000  0.0000  0.5000  2 Nb 2.76
Nb  0.5000  0.5000  0.5000  2 Cu 2.70, 4 La 2.76
Cu  0.5000  0.5000  0.0000  2 Nb 2.70

No. 3
This record from the Alexandria database describes crystalline CaBeP2 at its relaxed geometry. The functional is PBE.

E_tot in eV for the cell shown: -32.3
ΔH_f (0 K) in meV per atom: 105

Lattice parameters (Å, degrees): 4.3635 4.3635 7.1773 90.00 90.00 90.00
Closest atoms and distances in Å follow each position.
Element x y z (fractional)
Ca  0.0000  0.0000  0.0000  8 P 2.82, 4 Be 3.09
Ca  0.5000  0.5000  0.5000  8 P 2.82, 4 Be 3.09
Be  0.0000  0.0000  0.5000  8 P 2.82, 4 Ca 3.09
Be  0.5000  0.5000  0.0000  8 P 2.82, 4 Ca 3.09
P  0.0000  0.5000  0.2500  4 Ca 2.82, 4 Be 2.82, 4 P 3.09
P  0.0000  0.5000  0.7500  4 Ca 2.82, 4 Be 2.82, 4 P 3.09
P  0.5000  0.0000  0.2500  4 Ca 2.82, 4 Be 2.82, 4 P 3.09
P  0.5000  0.0000  0.7500  4 Ca 2.82, 4 Be 2.82, 4 P 3.09

No. 4
This record from the Alexandria database describes crystalline SrOsAu3 at its relaxed geometry. The functional is PBE.

E_tot in eV for the cell shown: -21.4
ΔH_f (0 K) in meV per atom: 272

Lattice parameters (Å, degrees): 5.0910 5.0910 5.0910 90.00 90.00 90.00
Closest atoms and distances in Å follow each position.
Element x y z (fractional)
Sr  0.0000  0.0000  0.0000  12 Au 3.60
Os  0.5000  0.5000  0.5000  6 Au 2.55
Au  0.0000  0.5000  0.5000  2 Os 2.55
Au  0.5000  0.0000  0.5000  2 Os 2.55
Au  0.5000  0.5000  0.0000  2 Os 2.55